Run one
A relaxed CsAcSn crystal. Source: Alexandria, functional GGA-PBE.

Summary:
- size of the total moment (μB/cell) = 0.000
- volume (Å³/atom) = 57.57

a b c (Å): 6.890 5.380 5.380
angles (deg): 120.00 90.00 90.00
Fractional coordinates of all 3 atoms:
Sn 0.071 0.000 0.000
Ac 0.216 0.333 0.667
Cs 0.713 0.667 0.333

Run two
A relaxed CsAcSn crystal. Source: Alexandria, functional GGA-PBE.

Summary:
- size of the total moment (μB/cell) = 0.002
- volume (Å³/atom) = 51.52

a b c (Å): 4.547 4.547 8.137
angles (deg): 106.22 106.22 90.00
Fractional coordinates of all 3 atoms:
Ac 0.273 0.273 0.545
Sn 0.708 0.708 0.416
Cs 0.019 0.019 0.039

Result of the stability comparison: run one is the least stable of them.

Run one
A relaxed CsAcSn2 crystal. Source: Alexandria, functional GGA-PBE.

Summary:
- size of the total moment (μB/cell) = 0.000
- volume (Å³/atom) = 38.12

a b c (Å): 5.996 5.996 5.997
angles (deg): 60.00 60.00 60.00
Fractional coordinates of all 4 atoms:
Sn 0.250 0.250 0.250
Cs 0.000 0.000 0.000
Ac 0.500 0.500 0.500
Sn 0.750 0.750 0.750

Run two
A relaxed CsAcSn2 crystal. Source: Alexandria, functional GGA-PBE.

Summary:
- size of the total moment (μB/cell) = 0.000
- volume (Å³/atom) = 42.63

a b c (Å): 4.496 4.496 8.437
angles (deg): 90.00 90.00 90.00
Fractional coordinates of all 4 atoms:
Sn 0.000 0.000 0.174
Sn 0.000 0.000 0.826
Cs 0.500 0.500 0.500
Ac 0.500 0.500 0.000

Result of the stability comparison: run one is the least stable of them.

Run one
A relaxed CsAcTe4 crystal. Source: Alexandria, functional GGA-PBE.

Summary:
- size of the total moment (μB/cell) = 0.000
- volume (Å³/atom) = 42.28

a b c (Å): 7.168 7.168 9.874
angles (deg): 90.00 90.00 90.00
Fractional coordinates of all 12 atoms:
Ac 0.000 0.000 0.000
Te 0.639 0.861 0.206
Te 0.139 0.361 0.794
Te 0.139 0.639 0.206
Te 0.639 0.139 0.794
Cs 0.500 0.500 0.500
Te 0.861 0.639 0.794
Te 0.361 0.861 0.794
Te 0.861 0.361 0.206
Ac 0.500 0.500 0.000
Cs 0.000 0.000 0.500
Te 0.361 0.139 0.206

Run two
A relaxed CsAcTe4 crystal. Source: Alexandria, functional GGA-PBE.

Summary:
- size of the total moment (μB/cell) = 0.000
- volume (Å³/atom) = 35.71

a b c (Å): 6.716 6.716 6.716
angles (deg): 60.00 60.00 60.00
Fractional coordinates of all 6 atoms:
Ac 0.000 0.000 0.000
Te 0.626 0.626 0.122
Cs 0.250 0.250 0.250
Te 0.626 0.626 0.626
Te 0.626 0.122 0.626
Te 0.122 0.626 0.626

Result of the stability comparison: run two is the least stable of them.

Run one
A relaxed CsAcTl2 crystal. Source: Alexandria, functional GGA-PBE.

Summary:
- size of the total moment (μB/cell) = 0.083
- volume (Å³/atom) = 41.88

a b c (Å): 4.217 4.217 9.419
angles (deg): 90.00 90.00 90.00
Fractional coordinates of all 4 atoms:
Ac 0.500 0.500 0.000
Tl 0.000 0.000 0.800
Tl 0.000 0.000 0.200
Cs 0.500 0.500 0.500

Run two
A relaxed CsAcTl2 crystal. Source: Alexandria, functional GGA-PBE.

Summary:
- size of the total moment (μB/cell) = 0.000
- volume (Å³/atom) = 43.33

a b c (Å): 4.205 4.205 11.574
angles (deg): 79.53 79.53 60.00
Fractional coordinates of all 4 atoms:
Ac 0.000 0.000 0.000
Tl 0.258 0.258 0.225
Cs 0.500 0.500 0.500
Tl 0.742 0.742 0.775

Result of the stability comparison: run two is the least stable of them.